Below is a relaxed structure of YZn2, with properties calculated at the PBE level.

POSCAR file:
```
YZn2
1.0
5.275 -2.071 0.000
5.275 2.071 0.000
-0.138 0.000 5.544
Y Zn
2 4
Direct
0.200 0.200 0.248 Y
0.800 0.800 0.752 Y
0.091 0.091 0.744 Zn
0.500 0.500 0.000 Zn
0.500 0.500 0.500 Zn
0.909 0.909 0.256 Zn
```

Calculated values
ρ in Mg/m³: 6.0
Crystal system: monoclinic
DFT total energy in eV for the cell shown: -20.02
Space group: No. 12
Calculated formation energy in eV per atom: -0.3330